DFT (PBE) results for a geometry-optimized ZrBiP2Pb structure.

a b c (Å): 5.1101 5.1101 5.6432
angles (deg): 90.00 90.00 90.00
Last column: nearest neighbours and their distance in Å.
Atoms (fractional coordinates):
Zr  0.0000  0.0000  0.0000  2 Pb 2.82
Bi  0.5000  0.5000  0.0000  4 Zr 3.61, 8 P 3.81
P  0.0000  0.5000  0.5000  2 Pb 2.56
P  0.5000  0.0000  0.5000  2 Pb 2.56
Pb  0.0000  0.0000  0.5000  4 P 2.56, 2 Zr 2.82

Computed properties:
crystal system: tetragonal
DFT total energy: -4.205 eV/atom
DOS(E_F): 1.263 states/eV/atom
energy of formation from the pure elements: 114.5 kJ/mol of atoms